Computed, not measured: crystalline CrHgSeO6 at its relaxed geometry at the PBE+U level of DFT.

crystal system: monoclinic
V: 12.2 Å³/atom
spin magnetization: 2.00 μB/f.u.
DFT total energy: -5.373 eV per atom
space group: C2

Unit cell a=5.0080 b=5.0782 c=5.0284 alpha=92.70 beta=91.37 gamma=59.54
With the nearest neighbours (Å) after each atom.
Element x y z (fractional)
1 O 0.3796 0.0171 0.7096  1 Cr 1.86, 1 Se 1.87
2 Hg 0.9933 0.0033 0.9999  6 O 2.35-2.48
3 Se 0.3368 0.3316 0.5000  6 O 1.82-1.87
4 O 0.0161 0.3646 0.2954  1 Se 1.83, 1 Cr 1.98
5 O 0.3796 0.6033 0.2904  1 Cr 1.86, 1 Se 1.87
6 O 0.6142 0.3756 0.7081  1 Se 1.82, 1 Cr 1.97
7 O 0.6142 0.0102 0.2919  1 Se 1.82, 1 Cr 1.97
8 Cr 0.6498 0.6751 0.5000  6 O 1.86-1.98
9 O 0.0161 0.6192 0.7046  1 Se 1.83, 1 Cr 1.98